(1)
BaCdGaF7 (meta-GGA SCAN, PBEsol geometry); total moment = 0.000 μB/f.u.; uncorrected formation energy = -3.130 eV/atom; E = -14.239 eV per atom; crystal system = monoclinic
1.0
6.928 -2.675 0.000
6.928 2.675 0.000
-0.417 0.000 14.972
Ba Cd Ga F
4 4 4 28
Cartesian
2.604 0.200 1.871
2.396 -0.200 9.357
11.044 0.200 5.615
10.835 -0.200 13.102
6.824 0.247 3.743
6.928 0.000 0.000
6.720 0.000 7.486
6.616 -0.247 11.229
1.338 0.059 13.100
1.546 -0.059 5.614
11.893 0.059 9.359
12.102 -0.059 1.872
4.608 1.479 3.339
5.452 1.825 7.764
6.714 2.052 5.213
6.934 2.052 2.273
4.924 1.244 10.510
4.997 1.048 0.726
3.351 0.272 6.035
7.779 1.825 14.694
3.142 -0.272 13.521
5.735 0.588 13.047
9.040 1.479 4.148
8.307 1.244 11.949
8.651 1.048 6.760
7.496 0.588 9.411
5.944 -0.588 5.561
4.788 -1.048 8.212
5.133 -1.244 3.023
4.400 -1.479 10.825
7.704 -0.588 1.925
10.297 0.272 1.452
5.660 -1.825 0.278
10.089 -0.272 8.938
8.443 -1.048 14.246
8.515 -1.244 4.463
6.506 -2.052 12.699
6.725 -2.052 9.759
7.988 -1.825 7.208
8.831 -1.479 11.634

---

(2)
CoTc (meta-GGA SCAN, PBEsol geometry); total moment = 1.151 μB/f.u.; E = -25.997 eV per atom; crystal system = tetragonal; E_form = 0.185 eV per atom
1.0
2.586 0.000 0.000
0.000 2.586 0.000
0.000 0.000 7.203
Co Tc
2 2
Cartesian
0.647 0.647 0.866
1.940 1.940 6.338
0.647 0.647 4.675
1.940 1.940 2.528

---

(3)
YSc2Zn2 (meta-GGA SCAN, PBEsol geometry); total moment = 0.000 μB/f.u.; E = -16.970 eV per atom; crystal system = tetragonal; E_form = -0.300 eV per atom
1.0
7.804 0.000 0.000
0.000 7.804 0.000
0.000 0.000 3.427
Y Sc Zn
2 4 4
Cartesian
0.000 0.000 0.000
3.902 3.902 0.000
1.313 2.589 1.713
2.589 6.491 1.713
5.215 1.313 1.713
6.491 5.215 1.713
0.992 4.894 0.000
2.910 0.992 0.000
4.894 6.812 0.000
6.812 2.910 0.000

---

(4)
La2InTc (meta-GGA SCAN, PBEsol geometry); total moment = 0.000 μB/f.u.; E = -38.783 eV per atom; crystal system = orthorhombic; E_form = -0.119 eV per atom
1.0
-1.745 2.558 5.614
1.745 -2.558 5.614
1.745 2.558 -5.614
La In Tc
2 1 1
Cartesian
0.000 0.000 0.000
0.000 2.558 2.165
0.000 0.000 4.440
1.745 0.000 2.315